A geometry-optimized ZrPdSe2S structure, computed with GGA-PBEsol.

Geometry as extended XYZ:
```
5
Lattice="4.369 0.000 0.000 0.000 4.786 0.000 0.000 0.000 4.786" Properties=species:S:1:pos:R:3 pbc="T T T"
S 0.000 0.000 0.000
Se 0.000 0.000 2.393
Se 0.000 2.393 0.000
Zr 2.184 2.393 2.393
Pd 2.184 0.000 0.000
```

Output
Size of the total moment in Bohr magnetons per cell: 0.4
Crystal system: tetragonal
SG: P4/mmm (123)
Raw formation energy in eV/atom: 0.160
Electronic total energy in eV per atom: -5.267